A plane-wave DFT calculation with GGA-PBE was carried out for a relaxed Ce2TmSi3Ir4 crystal.

SG   P-4m2, No. 115
DOS(E_F)   8.577 states/eV per cell
Formation energy (no corrections)   -9.62 eV per formula unit

a b c (Å): 4.115 4.115 10.989
angles (deg): 90.00 90.00 90.00
Sites, in units of the cell vectors:
1 Ce 0.000 0.500 0.766
2 Ce 0.500 0.000 0.234
3 Ir 0.000 0.500 0.337
4 Ir 0.000 0.000 0.000
5 Ir 0.500 0.500 0.000
6 Ir 0.500 0.000 0.663
7 Si 0.000 0.500 0.118
8 Si 0.000 0.000 0.500
9 Si 0.500 0.000 0.882
10 Tm 0.500 0.500 0.500

---

A plane-wave DFT calculation with GGA-PBE was carried out for a relaxed ZrMn3Zn crystal.

SG   Pm-3m, No. 221
Formation energy   1.42 eV/atom
DOS(E_F)   4.236 states/eV per cell
E above lowest polymorph   601 meV per atom

a b c (Å): 4.778 4.778 4.778
angles (deg): 90.00 90.00 90.00
Sites, in units of the cell vectors:
1 Zn 0.500 0.500 0.500
2 Mn 0.000 0.500 0.000
3 Mn 0.000 0.000 0.500
4 Mn 0.500 0.000 0.000
5 Zr 0.000 0.000 0.000

---

A plane-wave DFT calculation with GGA-PBE was carried out for a relaxed Sm2Ho5Er4 crystal.

SG   C2/m, No. 12
Formation energy   0.02 eV/atom
DOS(E_F)   14.485 states/eV per cell
E above lowest polymorph   0 meV per atom

a b c (Å): 3.533 9.354 11.722
angles (deg): 106.45 81.36 112.21
Sites, in units of the cell vectors:
1 Er 0.228 0.546 0.636
2 Er 0.684 0.637 0.907
3 Er 0.316 0.363 0.093
4 Er 0.772 0.454 0.364
5 Sm 0.136 0.727 0.182
6 Sm 0.864 0.273 0.818
7 Ho 0.410 0.183 0.544
8 Ho 0.044 0.908 0.727
9 Ho 0.590 0.817 0.456
10 Ho 0.956 0.092 0.273
11 Ho 0.500 0.000 0.000

---

A plane-wave DFT calculation with GGA-PBE was carried out for a relaxed LiTbYSn crystal.

SG   F-43m, No. 216
Formation energy   -0.44 eV/atom
DOS(E_F)   2.864 states/eV per cell

a b c (Å): 5.228 5.228 5.228
angles (deg): 60.00 60.00 60.00
Sites, in units of the cell vectors:
1 Y 0.750 0.750 0.750
2 Li 0.500 0.500 0.500
3 Tb 0.250 0.250 0.250
4 Sn 0.000 0.000 0.000

---

A plane-wave DFT calculation with GGA-PBE was carried out for a relaxed LaDy8Tm2 crystal.

SG   Immm, No. 71
Formation energy   0.12 eV/atom
DOS(E_F)   16.830 states/eV per cell
E above lowest polymorph   0 meV per atom

a b c (Å): 5.495 8.162 9.335
angles (deg): 115.92 107.12 90.00
Sites, in units of the cell vectors:
1 Dy 0.359 0.154 0.718
2 Dy 0.359 0.564 0.718
3 Dy 0.000 0.703 0.000
4 Dy 0.641 0.436 0.282
5 Dy 0.164 0.164 0.329
6 Dy 0.641 0.846 0.282
7 Dy 0.000 0.297 0.000
8 Dy 0.836 0.836 0.671
9 Tm 0.199 0.699 0.398
10 Tm 0.801 0.301 0.602
11 La 0.500 0.000 0.000

---

A plane-wave DFT calculation with GGA-PBE was carried out for a relaxed RbTmBi crystal.

SG   I4mm, No. 107
Formation energy   -0.24 eV/atom
DOS(E_F)   2.172 states/eV per cell
E above lowest polymorph   136 meV per atom

a b c (Å): 4.286 4.286 7.797
angles (deg): 105.95 105.95 90.00
Sites, in units of the cell vectors:
1 Tm 0.272 0.272 0.543
2 Rb 0.004 0.004 0.008
3 Bi 0.724 0.724 0.449

---

A plane-wave DFT calculation with GGA-PBE was carried out for a relaxed Li4RhAu crystal.

SG   P4/mmm, No. 123
Formation energy   -0.25 eV/atom
DOS(E_F)   6.167 states/eV per cell
E above lowest polymorph   51 meV per atom

a b c (Å): 4.475 4.475 8.578
angles (deg): 90.00 90.00 90.00
Sites, in units of the cell vectors:
1 Li 0.500 0.000 0.175
2 Li 0.000 0.500 0.825
3 Li 0.500 0.000 0.825
4 Li 0.500 0.500 0.647
5 Li 0.000 0.000 0.647
6 Li 0.000 0.500 0.175
7 Li 0.000 0.000 0.353
8 Li 0.500 0.500 0.353
9 Rh 0.000 0.500 0.500
10 Rh 0.500 0.000 0.500
11 Au 0.500 0.500 0.000
12 Au 0.000 0.000 0.000

---

A plane-wave DFT calculation with GGA-PBE was carried out for a relaxed TlTc2Au crystal.

SG   F-43m, No. 216
Formation energy   0.72 eV/atom
DOS(E_F)   2.627 states/eV per cell
E above lowest polymorph   442 meV per atom

a b c (Å): 4.632 4.632 4.632
angles (deg): 60.00 60.00 60.00
Sites, in units of the cell vectors:
1 Tc 0.000 0.000 0.000
2 Tc 0.250 0.250 0.250
3 Au 0.500 0.500 0.500
4 Tl 0.750 0.750 0.750

---

Mass density, record by record: 11.62; 4.89; 8.67; 6.14; 8.29; 5.83; 6.33; 14.11 g/cm³